DFT (PBE with a Hubbard U) results for crystalline AlMo3Se2ClO8 at its relaxed geometry.

## Properties
E   -6.051 eV per atom
M_tot   8.0 μB per formula unit
Volume   14.72 Å³ per atom

Unit cell a=6.5670 b=7.2832 c=9.6846 alpha=106.56 beta=94.09 gamma=92.87
Closest atoms and distances in Å follow each position.
Space group P1 (No. 1)
Unique sites:
Al  0.0000  0.0000  0.0000 x1  5 O 1.85-2.02
Al  0.4659  0.4669  0.4832 x1  5 O 1.81-2.02
Mo  0.4937  0.9847  0.9787 x1  4 O 2.09-2.27
Mo  0.7127  0.2177  0.7363 x1  4 O 2.08-2.21
Mo  0.7354  0.7287  0.2495 x1  4 O 2.08-2.28
Mo  0.7502  0.2321  0.2565 x1  4 O 2.12-2.15
Mo  0.7565  0.7168  0.7285 x1  4 O 2.13-2.21
Mo  0.9853  0.4359  0.5303 x1  1 O 1.89
Se  0.1563  0.5428  0.8866 x1  2 O 1.77-1.83
Se  0.1724  0.4647  0.1762 x1  3 O 1.71-1.79
Se  0.2958  0.9962  0.3144 x1  3 O 1.69-1.76
Se  0.3245  0.8778  0.7113 x1  2 O 1.75-1.91
Cl  0.6108  0.4569  0.9900 x1  2 Mo 2.73-2.76
Cl  0.8621  0.9874  0.4957 x1  2 Mo 2.63-2.73
O  0.0023  0.3690  0.7490 x1  1 Se 1.77
O  0.0299  0.6598  0.2009 x1  1 Se 1.71
O  0.2042  0.4703  0.3603 x1  1 Se 1.77
O  0.2138  0.0637  0.9043 x1  1 Al 1.85
O  0.2479  0.9785  0.1293 x1  1 Se 1.76
O  0.2627  0.4173  0.5871 x1  1 Al 1.81, 1 Mo 1.89
O  0.4186  0.0863  0.6742 x1  1 Se 1.75
O  0.4385  0.8049  0.2965 x1  1 Se 1.69
O  0.4797  0.1936  0.3608 x1  1 Se 1.76
O  0.5018  0.7265  0.5831 x1  1 Al 1.86, 1 Se 1.91
O  0.6873  0.4166  0.6080 x1  1 Al 1.94, 3 Mo 2.16-2.17
O  0.7018  0.5187  0.3712 x1  1 Al 2.03, 2 Mo 2.12-2.19
O  0.7674  0.9438  0.1205 x1  1 Al 2.08, 3 Mo 2.15-2.28
O  0.7684  0.0175  0.8663 x1  1 Al 1.96
O  0.9782  0.7322  0.9076 x1  1 Se 1.83, 1 Al 1.89
O  0.9849  0.2657  0.1210 x1  1 Se 1.79, 1 Al 1.97